(a)
A geometry-optimized LaV3Se structure. Source: the Alexandria database, functional PBE.

Computed properties:
Space group ... Pm-3m
V ... 20.0 Å³/atom

extended XYZ file:
```
5
Lattice="4.6419 0.0000 0.0000 0.0000 4.6419 0.0000 0.0000 0.0000 4.6419" Properties=species:S:1:pos:R:3 pbc="T T T"
La 0.0000 0.0000 0.0000
Se 2.3209 2.3209 2.3209
V 0.0000 2.3209 0.0000
V 0.0000 0.0000 2.3209
V 2.3209 0.0000 0.0000
```

---

(b)
A geometry-optimized LaV3Se structure. Source: the Alexandria database, functional PBE.

Computed properties:
Space group ... Pm-3m
V ... 20.9 Å³/atom

extended XYZ file:
```
5
Lattice="-0.0220 -2.0184 -4.2571 -2.3975 -3.6600 1.7477 -4.0558 2.1745 -1.0100" Properties=species:S:1:pos:R:3 pbc="T T T"
La -3.2376 -1.7520 -1.7597
Se 0.0000 0.0000 0.0000
V -1.1988 -1.8300 0.8738
V -2.0279 1.0872 -0.5050
V -0.0110 -1.0092 -2.1286
```

---

Most stable to least stable, the ends of the list are (b) and (a).

---

(a)
A geometry-optimized LaW2Se structure. Source: the Alexandria database, functional PBE.

Computed properties:
Space group ... Cmmm
V ... 19.6 Å³/atom

extended XYZ file:
```
4
Lattice="-1.7656 1.6343 -1.8956 0.9343 -2.6409 -1.2387 -7.3693 -4.1489 3.2870" Properties=species:S:1:pos:R:3 pbc="T T T"
La -2.2580 -1.5405 -0.7454
Se -5.9426 -3.6150 0.8981
W -7.0973 -3.9958 3.1657
W -3.9566 -2.2275 1.7648
```

---

(b)
A geometry-optimized LaW2Se structure. Source: the Alexandria database, functional PBE.

Computed properties:
Space group ... Imm2
V ... 22.0 Å³/atom

extended XYZ file:
```
4
Lattice="5.5947 0.0086 0.0010 1.7355 5.3187 -0.0010 -2.8230 -3.8224 2.9531" Properties=species:S:1:pos:R:3 pbc="T T T"
La 3.5934 2.6115 0.0000
Se 1.0471 1.9043 1.4760
W 7.3059 5.3096 0.0000
W 3.5562 -0.3296 1.4770
```

---

Most stable to least stable, the ends of the list are (b) and (a).

---

(a)
A geometry-optimized LaW2Se structure. Source: the Alexandria database, functional PBE.

Computed properties:
Space group ... R-3m
V ... 19.5 Å³/atom

extended XYZ file:
```
4
Lattice="9.8830 -0.0188 -0.0110 9.4190 2.9928 -0.0110 9.4190 1.4512 2.6174" Properties=species:S:1:pos:R:3 pbc="T T T"
La 7.1802 1.1063 0.6488
Se 21.5407 3.3189 1.9465
W 0.4440 0.0684 0.0401
W 13.9164 2.1442 1.2575
```

---

(b)
A geometry-optimized LaW2Se structure. Source: the Alexandria database, functional PBE.

Computed properties:
Space group ... C2/m
V ... 21.0 Å³/atom

extended XYZ file:
```
4
Lattice="6.1496 -0.0130 -0.0174 -3.5603 5.0142 -0.0174 0.9487 1.8325 2.7195" Properties=species:S:1:pos:R:3 pbc="T T T"
La 3.5492 0.9097 1.3511
Se -1.3058 3.4233 1.3511
W 0.0000 0.0000 0.0000
W 1.2947 2.5006 -0.0174
```

---

Most stable to least stable, the ends of the list are (b) and (a).

---

(a)
A geometry-optimized LaW2Se structure. Source: the Alexandria database, functional PBE.

Computed properties:
Space group ... Pm
V ... 21.6 Å³/atom

extended XYZ file:
```
4
Lattice="-1.6565 2.7568 -2.8215 0.1507 -2.3521 -2.3866 -5.5432 -1.8414 1.4553" Properties=species:S:1:pos:R:3 pbc="T T T"
La -2.9485 -1.8820 -0.1077
Se -5.0104 -2.1132 -2.3669
W -0.2907 -2.1974 -1.9764
W -1.3448 0.3071 -2.1541
```

---

(b)
A geometry-optimized LaW2Se structure. Source: the Alexandria database, functional PBE.

Computed properties:
Space group ... Fm-3m
V ... 18.9 Å³/atom

extended XYZ file:
```
4
Lattice="0.0000 3.3582 3.3582 3.3582 0.0000 3.3582 3.3582 3.3582 0.0000" Properties=species:S:1:pos:R:3 pbc="T T T"
Se 0.0000 0.0000 0.0000
W 1.6791 1.6791 1.6791
W 5.0374 5.0374 5.0374
La 3.3582 3.3582 3.3582
```

---

Most stable to least stable, the ends of the list are (a) and (b).

---

(a)
A geometry-optimized LaW2Se structure. Source: the Alexandria database, functional PBE.

Computed properties:
Space group ... P4mm
V ... 20.5 Å³/atom

extended XYZ file:
```
4
Lattice="3.3346 0.0000 0.0000 0.0000 3.3346 0.0000 0.0000 0.0000 7.3743" Properties=species:S:1:pos:R:3 pbc="T T T"
La 0.0000 0.0000 3.6370
Se 1.6673 1.6673 5.8975
W 0.0000 0.0000 0.1074
W 1.6673 1.6673 1.4196
```

---

(b)
A geometry-optimized LaW2Se structure. Source: the Alexandria database, functional PBE.

Computed properties:
Space group ... Cmm2
V ... 20.2 Å³/atom

extended XYZ file:
```
4
Lattice="-0.5426 1.4536 -2.6682 -1.7258 -2.5337 0.3586 -6.5351 5.0271 4.0675" Properties=species:S:1:pos:R:3 pbc="T T T"
La -3.2701 2.5155 2.0353
Se -6.2232 3.3746 2.0126
W -0.0432 0.0333 0.0269
W -2.5346 0.5372 -0.2832
```

---

Most stable to least stable, the ends of the list are (a) and (b).

---

(a)
A geometry-optimized LaW2Se structure. Source: the Alexandria database, functional PBE.

Computed properties:
Space group ... P4/mmm
V ... 21.1 Å³/atom

extended XYZ file:
```
4
Lattice="-0.9212 -1.7552 3.0007 -2.9625 -1.2278 -1.6277 3.2961 -5.2351 -2.0502" Properties=species:S:1:pos:R:3 pbc="T T T"
La -1.1178 -2.8003 0.1740
Se 0.5302 -5.4178 -0.8511
W 3.0820 -4.8950 -1.9170
W 1.8622 -2.9576 -1.1583
```

---

(b)
A geometry-optimized LaW2Se structure. Source: the Alexandria database, functional PBE.

Computed properties:
Space group ... Cmmm
V ... 20.5 Å³/atom

extended XYZ file:
```
4
Lattice="-4.8356 -2.8961 -1.1704 4.7511 -2.6663 1.8595 -0.8770 0.3537 2.7480" Properties=species:S:1:pos:R:3 pbc="T T T"
La -2.8563 -1.2712 0.7888
Se 1.9371 -1.1563 2.3037
W 0.0000 0.0000 0.0000
W -0.0422 -2.7812 0.3445
```

---

Most stable to least stable, the ends of the list are (a) and (b).

---

(a)
A geometry-optimized LaW2Se structure. Source: the Alexandria database, functional PBE.

Computed properties:
Space group ... Pmmm
V ... 20.9 Å³/atom

extended XYZ file:
```
4
Lattice="-0.3839 -1.1962 -3.1268 -3.9832 -1.8014 1.1782 -2.5231 4.6245 -1.4593" Properties=species:S:1:pos:R:3 pbc="T T T"
La -1.4535 1.7142 -2.2931
Se -3.2532 1.4115 -0.1405
W 0.0000 0.0000 0.0000
W -2.1836 -1.4988 -0.9743
```

---

(b)
A geometry-optimized LaW2Se structure. Source: the Alexandria database, functional PBE.

Computed properties:
Space group ... I-42d
V ... 22.0 Å³/atom

extended XYZ file:
```
8
Lattice="-0.0585 0.7443 -3.9762 -3.0741 -2.5931 -0.4402 -8.5403 7.0717 -0.6089" Properties=species:S:1:pos:R:3 pbc="T T T"
Se -1.5663 -0.9244 -2.2082
Se -6.5903 1.7771 -1.6287
W -2.5530 1.8724 -2.4971
W -4.0666 0.2768 -1.1197
W -7.7310 4.4831 -2.1345
W -8.9952 3.8135 -4.2994
La 0.0000 0.0000 0.0000
La -5.0825 3.4458 -3.3967
```

---

(c)
A geometry-optimized LaW2Se structure. Source: the Alexandria database, functional PBE.

Computed properties:
Space group ... P4/mmm
V ... 19.9 Å³/atom

extended XYZ file:
```
4
Lattice="-2.1246 1.5873 -1.5148 -1.6321 -2.5525 -0.3856 -4.0909 1.5100 7.3197" Properties=species:S:1:pos:R:3 pbc="T T T"
La -2.9011 -0.1051 0.8797
Se -4.9465 0.6499 4.5396
W -3.8423 1.4182 6.8748
W -2.2942 0.8468 4.1048
```

---

Most stable to least stable, the ends of the list are (a) and (c).

---

(a)
A geometry-optimized LaW2Se structure. Source: the Alexandria database, functional PBE.

Computed properties:
Space group ... R3m
V ... 22.2 Å³/atom

extended XYZ file:
```
4
Lattice="-3.9239 -1.8778 0.4979 -1.2621 -1.4214 3.9444 -3.8915 3.6897 2.5170" Properties=species:S:1:pos:R:3 pbc="T T T"
La -4.5454 0.2086 3.4830
Se -7.0452 0.8178 5.3330
W -5.2122 -3.2404 4.4547
W -1.9996 -0.4993 1.6105
```

---

(b)
A geometry-optimized LaW2Se structure. Source: the Alexandria database, functional PBE.

Computed properties:
Space group ... C2/m
V ... 22.2 Å³/atom

extended XYZ file:
```
4
Lattice="-3.1946 -5.0715 -1.6311 -2.1054 -5.6957 1.3087 -4.7706 -0.0719 1.7523" Properties=species:S:1:pos:R:3 pbc="T T T"
La -2.5177 -2.7098 0.3575
Se -7.5530 -8.1293 1.0724
W -4.4219 -0.4520 1.5424
W -5.3840 -5.0394 0.9249
```

---

Most stable to least stable, the ends of the list are (a) and (b).

---

(a)
A geometry-optimized LaWSe2 structure. Source: the Alexandria database, functional PBE.

Computed properties:
Space group ... I-4m2
V ... 23.9 Å³/atom

extended XYZ file:
```
4
Lattice="6.4004 0.0136 0.0000 3.7744 5.1691 0.0000 -5.0874 -2.5914 2.8929" Properties=species:S:1:pos:R:3 pbc="T T T"
La 3.2002 0.0068 1.4464
Se 0.0000 0.0000 0.0000
Se 1.8872 2.5846 1.4464
W 5.0874 2.5914 0.0000
```

---

(b)
A geometry-optimized LaWSe2 structure. Source: the Alexandria database, functional PBE.

Computed properties:
Space group ... R-3m
V ... 21.7 Å³/atom

extended XYZ file:
```
4
Lattice="-3.1456 1.0212 -5.1159 0.9979 0.7003 -5.9686 -1.2978 -2.7952 -5.2548" Properties=species:S:1:pos:R:3 pbc="T T T"
La -2.5842 -0.8053 -12.2544
Se -3.3758 -1.0520 -16.0087
Se -1.7925 -0.5586 -8.5001
W -0.8614 -0.2684 -4.0848
```

---

(c)
A geometry-optimized LaWSe2 structure. Source: the Alexandria database, functional PBE.

Computed properties:
Space group ... I-42d
V ... 27.7 Å³/atom

extended XYZ file:
```
8
Lattice="-0.9799 -2.0742 -4.9726 5.2648 0.7058 -1.3318 3.6861 -7.4487 -0.6347" Properties=species:S:1:pos:R:3 pbc="T T T"
Se 0.8826 -3.2495 -3.8624
Se 4.1741 -1.5013 -1.1833
Se 3.9168 -6.1607 -2.7252
Se 6.9684 -6.7230 -6.1074
W 0.0000 0.0000 0.0000
W 2.4244 -5.1036 -4.3798
La 2.1424 -0.6842 -3.1522
La 5.5467 -3.7136 -2.5594
```

---

Most stable to least stable, the ends of the list are (b) and (a).

---

(a)
A geometry-optimized LaWSe2 structure. Source: the Alexandria database, functional PBE.

Computed properties:
Space group ... F-43m
V ... 21.6 Å³/atom

extended XYZ file:
```
4
Lattice="4.9643 0.0000 0.0000 2.4822 4.2992 0.0000 2.4822 1.4331 4.0533" Properties=species:S:1:pos:R:3 pbc="T T T"
La 4.9643 2.8661 2.0267
Se 0.0000 0.0000 0.0000
Se 2.4822 1.4331 1.0133
W 7.4465 4.2992 3.0400
```

---

(b)
A geometry-optimized LaWSe2 structure. Source: the Alexandria database, functional PBE.

Computed properties:
Space group ... Fm-3m
V ... 20.6 Å³/atom

extended XYZ file:
```
4
Lattice="1.0173 -2.7695 3.8928 -3.2928 -0.4934 3.5739 -2.2983 -4.2635 0.6318" Properties=species:S:1:pos:R:3 pbc="T T T"
Se -1.1435 -1.8816 2.0246
Se -3.4304 -5.6448 6.0739
W -2.2869 -3.7632 4.0493
La 0.0000 0.0000 0.0000
```

---

Most stable to least stable, the ends of the list are (b) and (a).

---

(a)
A geometry-optimized LaWSe2 structure. Source: the Alexandria database, functional PBE.

Computed properties:
Space group ... P4mm
V ... 22.0 Å³/atom

extended XYZ file:
```
4
Lattice="-1.0248 2.8469 2.0311 -3.4058 -1.2932 0.0941 1.4473 -3.4105 5.5107" Properties=species:S:1:pos:R:3 pbc="T T T"
La -1.0921 -1.8701 5.3396
Se 0.0033 -0.0078 0.0125
Se -1.7817 -0.2449 2.7137
W 0.6107 -1.4392 2.3255
```

---

(b)
A geometry-optimized LaWSe2 structure. Source: the Alexandria database, functional PBE.

Computed properties:
Space group ... P2/m
V ... 22.5 Å³/atom

extended XYZ file:
```
4
Lattice="4.0552 0.0000 0.0000 0.0000 3.4521 -0.1083 0.0000 0.2269 6.4273" Properties=species:S:1:pos:R:3 pbc="T T T"
La 2.0276 2.7592 4.7393
Se 0.0000 0.8531 0.0435
Se 0.0000 0.9863 3.1160
W 2.0276 0.9197 1.5798
```

---

Most stable to least stable, the ends of the list are (b) and (a).

---

(a)
A geometry-optimized LaWSe2 structure. Source: the Alexandria database, functional PBE.

Computed properties:
Space group ... P4/mmm
V ... 20.6 Å³/atom

extended XYZ file:
```
4
Lattice="-2.4979 -1.9014 -1.4935 3.2849 -3.4124 -1.1497 -0.8371 -2.2373 4.2486" Properties=species:S:1:pos:R:3 pbc="T T T"
La -1.6675 -2.0694 1.3776
Se 0.0000 0.0000 0.0000
Se 1.2239 -2.8248 1.5495
W 0.3935 -2.6569 -1.3216
```

---

(b)
A geometry-optimized LaWSe2 structure. Source: the Alexandria database, functional PBE.

Computed properties:
Space group ... Pm
V ... 23.1 Å³/atom

extended XYZ file:
```
4
Lattice="4.8370 0.0000 0.0000 0.0000 3.7978 0.0051 0.0000 1.8470 5.0337" Properties=species:S:1:pos:R:3 pbc="T T T"
La 2.4185 3.9986 3.9564
Se 0.0000 2.0950 4.7798
Se 2.4185 2.1025 1.7796
W 0.0000 2.1181 2.0760
```

---

(c)
A geometry-optimized LaWSe2 structure. Source: the Alexandria database, functional PBE.

Computed properties:
Space group ... Cm
V ... 23.5 Å³/atom

extended XYZ file:
```
4
Lattice="-1.4431 -2.7627 -3.4371 0.7987 -4.4009 -1.2340 -4.9038 -3.3363 2.5091" Properties=species:S:1:pos:R:3 pbc="T T T"
La -4.1496 -8.0367 -1.7536
Se -0.1613 -0.1490 0.0533
Se -2.0876 -2.8011 0.0414
W -1.9237 -4.7630 -1.5842
```

---

Most stable to least stable, the ends of the list are (c) and (a).

---

(a)
A geometry-optimized LaWSe2 structure. Source: the Alexandria database, functional PBE.

Computed properties:
Space group ... R-3m
V ... 23.1 Å³/atom

extended XYZ file:
```
4
Lattice="1.9194 0.0000 9.6401 -0.9597 1.6622 9.6401 -0.9597 -1.6622 9.6401" Properties=species:S:1:pos:R:3 pbc="T T T"
Se 0.0000 0.0000 25.8359
Se 0.0000 0.0000 3.0844
W 0.0000 0.0000 14.4602
La 0.0000 0.0000 0.0000
```

---

(b)
A geometry-optimized LaWSe2 structure. Source: the Alexandria database, functional PBE.

Computed properties:
Space group ... Cmmm
V ... 20.3 Å³/atom

extended XYZ file:
```
4
Lattice="3.3955 0.0099 0.0000 -0.5244 3.3548 0.0000 0.0000 0.0000 7.1202" Properties=species:S:1:pos:R:3 pbc="T T T"
La 1.4355 1.6824 5.3402
Se 0.0000 0.0000 0.2724
Se 0.0000 0.0000 3.2877
W 1.4355 1.6824 1.7801
```

---

Most stable to least stable, the ends of the list are (b) and (a).